# 1
## YTcBr2 (PBE)

Data for a geometry-optimized YTcBr2 structure.

## Properties
Uncorrected formation energy, meV/atom: -69.5
Energy, eV/atom: -5.113
Distance to the lowest polymorph of the same formula, meV per atom: 396

a = 4.254 Å, b = 4.639 Å, c = 4.642 Å
α = 85.19°, β = 90.00°, γ = 90.00°
Positions (direct):
Y (0.500, 0.750, 0.750)
Tc (0.500, 0.250, 0.250)
Br (0.000, 0.031, 0.031)
Br (0.000, 0.469, 0.469)


# 2
## YTcBr2 (PBE)

Data for a geometry-optimized YTcBr2 structure.

## Properties
Uncorrected formation energy, meV/atom: -443.5
Energy, eV/atom: -5.487
Distance to the lowest polymorph of the same formula, meV per atom: 22

a = 7.429 Å, b = 7.429 Å, c = 7.429 Å
α = 150.96°, β = 144.95°, γ = 46.14°
Positions (direct):
Y (0.250, 0.750, 0.500)
Tc (0.750, 0.250, 0.500)
Br (0.888, 0.888, 0.000)
Br (0.612, 0.612, 0.000)


# 3
## YTcBr2 (PBE)

Data for a geometry-optimized YTcBr2 structure.

## Properties
Uncorrected formation energy, meV/atom: -270.3
Energy, eV/atom: -5.314
Distance to the lowest polymorph of the same formula, meV per atom: 195

a = 3.603 Å, b = 3.603 Å, c = 8.334 Å
α = 90.00°, β = 90.00°, γ = 90.00°
Positions (direct):
Y (0.500, 0.500, 0.717)
Tc (0.000, 0.000, 0.509)
Br (0.000, 0.000, 0.928)
Br (0.500, 0.500, 0.347)


# 4
## YTcBr2 (PBE)

Data for a geometry-optimized YTcBr2 structure.

## Properties
Uncorrected formation energy, meV/atom: -422.5
Energy, eV/atom: -5.466
Distance to the lowest polymorph of the same formula, meV per atom: 43

a = 7.625 Å, b = 7.625 Å, c = 4.631 Å
α = 87.43°, β = 87.43°, γ = 27.34°
Positions (direct):
Y (0.250, 0.250, 0.250)
Tc (0.750, 0.750, 0.750)
Br (0.894, 0.894, 0.024)
Br (0.606, 0.606, 0.476)


# 5
## YTcBr2 (PBE)

Data for a geometry-optimized YTcBr2 structure.

## Properties
Uncorrected formation energy, meV/atom: 162.3
Energy, eV/atom: -4.882
Distance to the lowest polymorph of the same formula, meV per atom: 628

a = 3.582 Å, b = 3.582 Å, c = 9.271 Å
α = 90.00°, β = 90.00°, γ = 122.32°
Positions (direct):
Y (0.500, 0.500, 0.750)
Tc (0.500, 0.500, 0.250)
Br (0.000, 0.000, 0.005)
Br (0.000, 0.000, 0.495)


# 6
## Y4TcBr5 (PBE)

Data for a geometry-optimized Y4TcBr5 structure.

## Properties
Uncorrected formation energy, meV/atom: -1264.2
Energy, eV/atom: -5.723

a = 3.822 Å, b = 9.202 Å, c = 9.374 Å
α = 104.16°, β = 101.76°, γ = 90.00°
Positions (direct):
Y (0.643, 0.075, 0.285)
Y (0.002, 0.236, 0.004)
Y (0.357, 0.925, 0.715)
Y (0.998, 0.764, 0.996)
Tc (0.500, 0.000, 0.000)
Br (0.169, 0.323, 0.339)
Br (0.173, 0.850, 0.346)
Br (0.827, 0.150, 0.654)
Br (0.500, 0.500, 0.000)
Br (0.831, 0.677, 0.661)


# 7
## Zn2TcBr (PBE)

Data for a geometry-optimized Zn2TcBr structure.

## Properties
Uncorrected formation energy, meV/atom: 524.8
Energy, eV/atom: -3.122
Distance to the lowest polymorph of the same formula, meV per atom: 317

a = 3.027 Å, b = 4.784 Å, c = 5.499 Å
α = 56.45°, β = 90.00°, γ = 90.00°
Positions (direct):
Br (0.500, 0.500, 0.500)
Tc (0.000, 0.000, 0.500)
Zn (0.000, 0.000, 0.000)
Zn (0.500, 0.500, 0.000)


# 8
## Zn2TcBr (PBE)

Data for a geometry-optimized Zn2TcBr structure.

## Properties
Uncorrected formation energy, meV/atom: 288.3
Energy, eV/atom: -3.358
Distance to the lowest polymorph of the same formula, meV per atom: 80

a = 8.215 Å, b = 8.215 Å, c = 8.215 Å
α = 22.50°, β = 22.50°, γ = 22.50°
Positions (direct):
Br (0.250, 0.250, 0.250)
Tc (0.750, 0.750, 0.750)
Zn (0.005, 0.005, 0.005)
Zn (0.495, 0.495, 0.495)


# 9
## ZnTcBr2 (PBE)

Data for a geometry-optimized ZnTcBr2 structure.

## Properties
Uncorrected formation energy, meV/atom: -115.7
Energy, eV/atom: -3.862
Distance to the lowest polymorph of the same formula, meV per atom: 98

a = 3.876 Å, b = 6.959 Å, c = 9.402 Å
α = 89.61°, β = 78.38°, γ = 73.89°
Positions (direct):
Zn (0.433, 0.361, 0.348)
Zn (0.894, 0.551, 0.233)
Tc (0.690, 0.135, 0.049)
Tc (0.524, 0.451, 0.069)
Br (0.305, 0.079, 0.872)
Br (0.661, 0.954, 0.291)
Br (0.024, 0.610, 0.907)
Br (0.832, 0.388, 0.527)


# 10
## ZnTcBr2 (PBE)

Data for a geometry-optimized ZnTcBr2 structure.

## Properties
Uncorrected formation energy, meV/atom: 650.6
Energy, eV/atom: -3.096
Distance to the lowest polymorph of the same formula, meV per atom: 864

a = 6.839 Å, b = 6.839 Å, c = 6.839 Å
α = 147.15°, β = 147.15°, γ = 47.14°
Positions (direct):
Br (0.000, 0.000, 0.000)
Br (0.250, 0.750, 0.500)
Tc (0.500, 0.500, 0.000)
Zn (0.750, 0.250, 0.500)


# 11
## ZnTcBr2 (PBE)

Data for a geometry-optimized ZnTcBr2 structure.

## Properties
Uncorrected formation energy, meV/atom: 891.1
Energy, eV/atom: -2.855
Distance to the lowest polymorph of the same formula, meV per atom: 1105

a = 5.008 Å, b = 5.008 Å, c = 5.008 Å
α = 60.00°, β = 60.00°, γ = 60.00°
Positions (direct):
Br (0.000, 0.000, 0.000)
Br (0.250, 0.250, 0.250)
Tc (0.500, 0.500, 0.500)
Zn (0.750, 0.750, 0.750)


# 12
## ZnTcBr2 (PBE)

Data for a geometry-optimized ZnTcBr2 structure.

## Properties
Uncorrected formation energy, meV/atom: 528.0
Energy, eV/atom: -3.218
Distance to the lowest polymorph of the same formula, meV per atom: 742

a = 3.237 Å, b = 3.236 Å, c = 9.463 Å
α = 90.00°, β = 90.00°, γ = 90.00°
Positions (direct):
Br (0.000, 0.000, 0.078)
Br (0.000, 0.000, 0.422)
Tc (0.500, 0.500, 0.250)
Zn (0.500, 0.500, 0.750)